a.
PrNd2Au2 | PBE-GGA | relaxed

Output
SG   C2/m (12)
D(E_F)   4.3 states/eV/cell

Cell: 5.0769 5.0769 6.9070 Å, 111.79 111.79 89.98°
Atoms (fractional coordinates):
Pr: 0.0000 0.0000 0.0000
Nd: 0.2497 0.7503 0.5000
Nd: 0.7503 0.2497 0.5000
Au: 0.6125 0.6125 0.2287
Au: 0.3875 0.3875 0.7713



b.
PrNd2Au2 | PBE-GGA | relaxed

Output
SG   P4/mbm (127)
D(E_F)   10.8 states/eV/cell

Cell: 3.9248 8.4615 8.4615 Å, 90.00 90.00 90.00°
Atoms (fractional coordinates):
Pr: 0.5000 0.5000 0.0000
Pr: 0.5000 0.0000 0.5000
Nd: 0.0000 0.6645 0.3355
Nd: 0.0000 0.8355 0.8355
Nd: 0.0000 0.1645 0.1645
Nd: 0.0000 0.3355 0.6645
Au: 0.5000 0.3720 0.3720
Au: 0.5000 0.8720 0.1280
Au: 0.5000 0.1280 0.8720
Au: 0.5000 0.6280 0.6280



What should be chosen as the most stable of them? Choose b.



a.
PrNdAu | PBE-GGA | relaxed

Output
SG   P3m1 (156)
D(E_F)   2.1 states/eV/cell

Cell: 3.9768 5.0230 5.0230 Å, 120.00 90.00 90.00°
Atoms (fractional coordinates):
Pr: 0.2850 0.3333 0.6667
Nd: 0.7232 0.6667 0.3333
Au: 0.9918 0.0000 0.0000



b.
PrNdAu | PBE-GGA | relaxed

Output
SG   I4mm (107)
D(E_F)   4.0 states/eV/cell

Cell: 3.7507 3.7507 6.8607 Å, 105.86 105.86 90.00°
Atoms (fractional coordinates):
Pr: 0.0213 0.0213 0.0427
Au: 0.6691 0.6691 0.3383
Nd: 0.3095 0.3095 0.6191



c.
PrNdAu | PBE-GGA | relaxed

Output
SG   Ima2 (46)
D(E_F)   18.6 states/eV/cell

Cell: 7.4087 9.9844 9.5885 Å, 121.38 112.73 90.00°
Atoms (fractional coordinates):
Pr: 0.7660 0.0520 0.6040
Pr: 0.1620 0.9480 0.3960
Pr: 0.3665 0.7510 0.0019
Pr: 0.3646 0.2490 0.9981
Pr: 0.1631 0.4470 0.3941
Pr: 0.7690 0.5530 0.6059
Nd: 0.0305 0.0000 0.0000
Nd: 0.0305 0.5000 0.0000
Nd: 0.4809 0.3726 0.7426
Nd: 0.7383 0.6274 0.2574
Nd: 0.7383 0.1300 0.2574
Nd: 0.4809 0.8700 0.7426
Au: 0.7822 0.2492 0.9985
Au: 0.7838 0.7508 0.0015
Au: 0.4017 0.1752 0.3521
Au: 0.0497 0.8248 0.6479
Au: 0.0497 0.3232 0.6479
Au: 0.4017 0.6768 0.3521



What should be chosen as the most stable of them? Choose c.



a.
PrNd2Au3 | PBE-GGA | relaxed

Output
SG   Imma (74)
D(E_F)   13.2 states/eV/cell

Cell: 9.3424 7.6401 8.1303 Å, 118.02 125.07 90.00°
Atoms (fractional coordinates):
Pr: 0.7268 0.2500 0.5000
Pr: 0.2732 0.7500 0.5000
Nd: 0.1683 0.9632 0.9265
Nd: 0.2582 0.4632 0.9265
Nd: 0.7418 0.5368 0.0735
Nd: 0.8317 0.0368 0.0735
Au: 0.0000 0.6952 0.0000
Au: 0.0000 0.3048 0.0000
Au: 0.5000 0.8048 0.0000
Au: 0.0000 0.0000 0.5000
Au: 0.0000 0.5000 0.5000
Au: 0.5000 0.1952 0.0000



b.
PrNd2Au3 | PBE-GGA | relaxed

Output
SG   C2/m (12)
D(E_F)   10.0 states/eV/cell

Cell: 5.2928 8.3685 7.3965 Å, 90.02 90.05 71.56°
Atoms (fractional coordinates):
Pr: 0.3334 0.3332 0.0000
Pr: 0.6666 0.6668 0.0000
Nd: 0.0000 0.0000 0.0000
Nd: 0.0000 0.0000 0.5000
Nd: 0.3331 0.3338 0.5000
Nd: 0.6669 0.6662 0.5000
Au: 0.8343 0.3311 0.7465
Au: 0.5000 0.0000 0.2523
Au: 0.1657 0.6689 0.2535
Au: 0.8346 0.3311 0.2535
Au: 0.1655 0.6689 0.7465
Au: 0.5000 0.0000 0.7477



What should be chosen as the most stable of them? Choose b.



a.
PrNdRhAu | PBE-GGA | relaxed

Output
SG   Amm2 (38)
D(E_F)   2.5 states/eV/cell

Cell: 3.9885 4.6281 5.7797 Å, 90.00 110.18 90.00°
Atoms (fractional coordinates):
Pr: 0.1445 0.0000 0.2890
Nd: 0.8650 0.5000 0.7300
Rh: 0.4086 0.0000 0.8172
Au: 0.5820 0.5000 0.1639



b.
PrNdRhAu | PBE-GGA | relaxed

Output
SG   F-43m (216)
D(E_F)   4.2 states/eV/cell

Cell: 5.1577 5.1577 5.1577 Å, 60.00 60.00 60.00°
Atoms (fractional coordinates):
Pr: 0.7500 0.7500 0.7500
Nd: 0.2500 0.2500 0.2500
Au: 0.0000 0.0000 0.0000
Rh: 0.5000 0.5000 0.5000



What should be chosen as the most stable of them? Choose a.



a.
PrNdTlAu | PBE-GGA | relaxed

Output
SG   F-43m (216)
D(E_F)   4.4 states/eV/cell

Cell: 5.4261 5.4261 5.4261 Å, 60.00 60.00 60.00°
Atoms (fractional coordinates):
Pr: 0.5000 0.5000 0.5000
Nd: 0.0000 0.0000 0.0000
Tl: 0.2500 0.2500 0.2500
Au: 0.7500 0.7500 0.7500



b.
PrNdTlAu | PBE-GGA | relaxed

Output
SG   P4mm (99)
D(E_F)   3.8 states/eV/cell

Cell: 3.7470 3.7470 8.0147 Å, 90.00 90.00 90.00°
Atoms (fractional coordinates):
Pr: 0.0000 0.0000 0.8379
Nd: 0.0000 0.0000 0.3788
Tl: 0.5000 0.5000 0.1101
Au: 0.5000 0.5000 0.6013



What should be chosen as the most stable of them? Choose b.



a.
Nd3PtAu2 | PBE-GGA | relaxed

Output
SG   Cmmm (65)
D(E_F)   10.4 states/eV/cell

Cell: 5.1814 8.2386 7.3932 Å, 90.00 90.01 71.67°
Atoms (fractional coordinates):
Nd: 0.8305 0.3400 0.7602
Nd: 0.4994 0.0000 0.2466
Nd: 0.1695 0.6600 0.2398
Nd: 0.8295 0.3400 0.2398
Nd: 0.1705 0.6600 0.7602
Nd: 0.5006 0.0000 0.7534
Pt: 0.3429 0.3142 0.0000
Pt: 0.6571 0.6858 0.0000
Au: 0.0000 0.0000 0.0000
Au: 0.0000 0.0000 0.5000
Au: 0.3320 0.3360 0.5000
Au: 0.6680 0.6640 0.5000



b.
Nd3PtAu2 | PBE-GGA | relaxed

Output
SG   C2/c (15)
D(E_F)   6.3 states/eV/cell

Cell: 6.0488 8.4518 7.5509 Å, 106.20 113.61 90.00°
Atoms (fractional coordinates):
Nd: 0.5011 0.2500 0.0000
Nd: 0.4989 0.7500 0.0000
Nd: 0.1525 0.0768 0.3069
Nd: 0.8456 0.4232 0.6931
Nd: 0.1544 0.5768 0.3069
Nd: 0.8475 0.9232 0.6931
Pt: 0.9990 0.7500 0.0000
Pt: 0.0010 0.2500 0.0000
Au: 0.6728 0.5861 0.3438
Au: 0.6710 0.0861 0.3438
Au: 0.3290 0.9139 0.6562
Au: 0.3272 0.4139 0.6562



What should be chosen as the most stable of them? Choose a.